This record from Alexandria via LeMat-Bulk describes a relaxed BaVBiO4 crystal. The functional is GGA+U.

Computed properties:
Fermi-level density of states = 0.31 states/eV per cell
Total energy = -6.5963 eV/atom
Space-group type = P2_1/m, No. 11

a = 6.8746 Å, b = 5.7469 Å, c = 7.4332 Å
α = 90.00°, β = 116.62°, γ = 90.00°
Fractional coordinates of all 14 atoms:
1 Ba 0.7088 0.7500 0.9651
2 Ba 0.2912 0.2500 0.0349
3 V 0.2883 0.7500 0.3024
4 V 0.7117 0.2500 0.6976
5 Bi 0.0083 0.7500 0.5815
6 Bi 0.9917 0.2500 0.4185
7 O 0.8909 0.4928 0.7714
8 O 0.1091 0.9928 0.2286
9 O 0.1091 0.5072 0.2286
10 O 0.8909 0.0072 0.7714
11 O 0.4270 0.7500 0.1536
12 O 0.5730 0.2500 0.8464
13 O 0.4251 0.7500 0.5590
14 O 0.5749 0.2500 0.4410